# 1
Compound: Tm8Ag2Sb
Source: Alexandria via LeMat-Bulk
Functional: GGA-PBE
Structure: relaxed

Summary:
ΔE_f (raw), eV per atom: -0.150
Theoretical density, g/cm3: 9.14

Cell: 8.6205 13.7156 5.4610 Å, 90.00 108.19 90.00°
Last column: nearest neighbours and their distance in Å.
Space group C2/m (No. 12)
Symmetry-distinct sites (fractional):
1 Tm 0.0000 0.2341 0.0000  2 Ag 2.89, 1 Sb 3.21
2 Tm 0.1036 0.5000 0.8022  2 Ag 3.13, 2 Tm 3.20-3.23, 1 Sb 3.25
3 Tm 0.2076 0.1187 0.6077  2 Ag 2.96-3.06, 1 Tm 3.26
4 Ag 0.0000 0.3041 0.5000  8 Tm 2.89-3.13
5 Sb 0.0000 0.0000 0.0000  8 Tm 3.21-3.58

# 2
Compound: Sc2Al4Zn
Source: Alexandria via LeMat-Bulk
Functional: GGA-PBE
Structure: relaxed

Summary:
Theoretical density, g/cm3: 2.87
Energy of formation from the pure elements, meV per atom: 250.0

Cell: 4.6112 4.6112 14.3215 Å, 90.00 90.00 90.00°
Last column: nearest neighbours and their distance in Å.
Space group I4/mmm (No. 139)
Symmetry-distinct sites (fractional):
1 Sc 0.0000 0.0000 0.1310  5 Al 2.82-2.97
2 Al 0.0000 0.0000 0.3282  1 Zn 2.46
3 Al 0.0000 0.5000 0.0000  2 Zn 2.31
4 Zn 0.0000 0.0000 0.5000  6 Al 2.31-2.46

# 3
Compound: HOs2PdAu
Source: Alexandria via LeMat-Bulk
Functional: GGA-PBE
Structure: relaxed

Summary:
Energy, eV per atom: -6.24
Theoretical density, g/cm3: 17.69

Cell: 3.8867 3.8867 4.2564 Å, 90.00 90.00 90.00°
Last column: nearest neighbours and their distance in Å.
Space group P4/mmm (No. 123)
Symmetry-distinct sites (fractional):
1 H 0.0000 0.0000 0.0000  4 Os 1.94, 2 Au 2.13
2 Os 0.0000 0.5000 0.0000  2 H 1.94
3 Pd 0.5000 0.5000 0.5000  4 Au 2.75, 8 Os 2.88
4 Au 0.0000 0.0000 0.5000  2 H 2.13

# 4
Compound: Co2Ni5Pd2
Source: Alexandria via LeMat-Bulk
Functional: GGA-PBE
Structure: relaxed

Summary:
ΔE to the lowest computed polymorph, kJ/mol of atoms: 1.8
Theoretical density, g/cm3: 9.56
Energy of formation from the pure elements, meV per atom: 48.8

Cell: 2.6267 4.7042 9.3078 Å, 95.14 98.06 106.12°
Last column: nearest neighbours and their distance in Å.
Space group P-1 (No. 2)
Symmetry-distinct sites (fractional):
1 Co 0.1173 0.3146 0.4222  7 Ni 2.42-2.52, 4 Co 2.43-2.63
2 Ni 0.0000 0.5000 0.0000  6 Ni 2.47-2.63, 4 Pd 2.68
3 Ni 0.3647 0.8500 0.3742  5 Ni 2.46-2.63, 5 Co 2.46-2.52, 2 Pd 2.70
4 Ni 0.4069 0.5377 0.7764  2 Co 2.42, 6 Ni 2.46-2.63, 3 Pd 2.57-2.59
5 Pd 0.1928 0.0227 0.8659  8 Ni 2.57-2.81, 4 Pd 2.63-2.84, 1 Co 2.88

# 5
Compound: Li2AcTlIn2
Source: Alexandria via LeMat-Bulk
Functional: GGA-PBE
Structure: relaxed

Summary:
Theoretical density, g/cm3: 6.95
Energy of formation from the pure elements, meV per atom: -157.5

Cell: 4.9590 4.9590 6.5602 Å, 90.00 90.00 90.00°
Last column: nearest neighbours and their distance in Å.
Space group P4/mmm (No. 123)
Symmetry-distinct sites (fractional):
1 Li 0.0000 0.5000 0.0000  2 Tl 2.48
2 Ac 0.0000 0.0000 0.5000  2 Tl 3.28
3 Tl 0.0000 0.0000 0.0000  4 Li 2.48
4 In 0.5000 0.5000 0.2686  1 In 3.04, 4 Li 3.04

# 6
Compound: AcPm6Nd2Dy
Source: Alexandria via LeMat-Bulk
Functional: GGA-PBE
Structure: relaxed

Summary:
Theoretical density, g/cm3: 7.20
Energy of formation from the pure elements, meV per atom: 117.7

Cell: 9.3529 15.6422 9.8201 Å, 90.00 96.07 90.00°
Last column: nearest neighbours and their distance in Å.
Space group C2/c (No. 15)
Symmetry-distinct sites (fractional):
1 Ac 0.0000 0.0232 0.2500  4 Nd 3.52-3.60, 4 Pm 3.75-3.87
2 Pm 0.0609 0.1910 0.9446  7 Pm 3.52-3.87, 1 Nd 3.64, 1 Ac 3.87
3 Pm 0.1040 0.3940 0.1170  4 Pm 3.34-3.60, 3 Nd 3.34-3.52, 2 Dy 3.50-3.64
4 Pm 0.2100 0.2266 0.3124  4 Pm 3.34-3.71, 2 Nd 3.49-3.66, 1 Dy 3.56
5 Nd 0.2437 0.4424 0.4546  6 Pm 3.34-3.66, 2 Ac 3.52-3.60, 1 Dy 3.68
6 Dy 0.0000 0.4104 0.7500  6 Pm 3.50-3.64, 4 Nd 3.68-3.91

# 7
Compound: NiOsI2N
Source: Alexandria via LeMat-Bulk
Functional: GGA-PBE
Structure: relaxed

Summary:
ΔE_f (raw), eV per atom: 0.843
ΔE to the lowest computed polymorph, kJ/mol of atoms: 0.0
Theoretical density, g/cm3: 7.63

Cell: 5.5070 5.5070 3.7072 Å, 90.00 90.00 90.00°
Last column: nearest neighbours and their distance in Å.
Space group P4/mmm (No. 123)
Symmetry-distinct sites (fractional):
1 Ni 0.0000 0.0000 0.0000  8 I 3.32, 2 Ni 3.71
2 Os 0.5000 0.5000 0.5000  2 N 1.85
3 I 0.0000 0.5000 0.5000  2 Os 2.75
4 N 0.5000 0.5000 0.0000  2 Os 1.85

# 8
Compound: Zr3GaCo
Source: Alexandria via LeMat-Bulk
Functional: GGA-PBE
Structure: relaxed

Summary:
ΔE to the lowest computed polymorph, kJ/mol of atoms: 0.0
Theoretical density, g/cm3: 6.89
Energy of formation from the pure elements, meV per atom: -323.0

Cell: 9.2455 6.0115 7.6872 Å, 90.00 114.78 90.00°
Last column: nearest neighbours and their distance in Å.
Space group C2/m (No. 12)
Symmetry-distinct sites (fractional):
1 Zr 0.0154 0.0000 0.2275  2 Co 2.48, 2 Ga 2.78
2 Zr 0.1945 0.5000 0.8726  2 Co 2.66, 2 Ga 2.95
3 Zr 0.2058 0.5000 0.3290  2 Co 2.72, 4 Ga 3.01-3.03
4 Ga 0.0000 0.2902 0.5000  1 Ga 2.52, 2 Zr 2.78
5 Co 0.0000 0.3020 0.0000  1 Co 2.38, 4 Zr 2.48-2.66

# 9
Compound: SiMoSN2
Source: Alexandria via LeMat-Bulk
Functional: GGA-PBE
Structure: relaxed

Summary:
ΔE_f (raw), eV per atom: 0.558
ΔE to the lowest computed polymorph, kJ/mol of atoms: 0.0
Theoretical density, g/cm3: 4.02

Cell: 3.8886 3.8886 5.0270 Å, 90.00 90.00 90.00°
Last column: nearest neighbours and their distance in Å.
Space group P4/mmm (No. 123)
Symmetry-distinct sites (fractional):
1 Si 0.0000 0.0000 0.0000  4 S 2.75
2 Mo 0.5000 0.5000 0.5000  4 N 1.94
3 S 0.5000 0.5000 0.0000  2 Mo 2.51, 4 Si 2.75
4 N 0.0000 0.5000 0.5000  2 Mo 1.94

# 10
Compound: PmGa2AgPt2
Source: Alexandria via LeMat-Bulk
Functional: GGA-PBE
Structure: relaxed

Summary:
Theoretical density, g/cm3: 11.43
Energy of formation from the pure elements, meV per atom: -766.7

Cell: 4.4315 4.4315 6.6819 Å, 90.00 90.00 120.00°
Last column: nearest neighbours and their distance in Å.
Space group P-3m1 (No. 164)
Symmetry-distinct sites (fractional):
1 Pm 0.0000 0.0000 0.0000  6 Pt 3.17, 6 Ga 3.28, 2 Ag 3.34
2 Ga 0.3333 0.6667 0.3068  4 Pt 2.56-2.76, 3 Ag 2.87
3 Ag 0.0000 0.0000 0.5000  6 Ga 2.87, 6 Pt 2.95
4 Pt 0.3333 0.6667 0.7201  4 Ga 2.56-2.76

# 11
Compound: DySc3Pd4
Source: Alexandria via LeMat-Bulk
Functional: GGA-PBE
Structure: relaxed

Summary:
Theoretical density, g/cm3: 7.85
Energy of formation from the pure elements, meV per atom: -883.9

Cell: 4.7188 4.7188 23.7895 Å, 90.00 90.00 120.00°
Last column: nearest neighbours and their distance in Å.
Space group R-3m (No. 166, hexagonal axes)
Symmetry-distinct sites (fractional):
1 Dy 0.0000 0.0000 0.0000  8 Pd 2.98-3.04
2 Sc 0.0000 0.0000 0.2473  7 Pd 2.84-2.90
3 Sc 0.0000 0.0000 0.5000  8 Pd 2.76-2.88
4 Pd 0.0000 0.0000 0.1279  7 Sc 2.84-2.90, 1 Dy 3.04
5 Pd 0.0000 0.0000 0.3841  4 Sc 2.76-2.85, 3 Dy 2.98

# 12
Compound: TcAg2As
Source: Alexandria via LeMat-Bulk
Functional: GGA-PBE
Structure: relaxed

Summary:
Theoretical density, g/cm3: 9.51
Energy of formation from the pure elements, meV per atom: 431.7

Cell: 5.3264 9.3026 2.7389 Å, 90.00 90.00 90.00°
Last column: nearest neighbours and their distance in Å.
Space group Cmmm (No. 65)
Symmetry-distinct sites (fractional):
1 Tc 0.0000 0.0000 0.0000  2 As 2.66, 2 Tc 2.74
2 Ag 0.2500 0.2500 0.5000  4 Ag 2.66-2.74
3 As 0.0000 0.5000 0.0000  2 Tc 2.66, 2 As 2.74

# 13
Compound: Tb6Sm16Er7
Source: Alexandria via LeMat-Bulk
Functional: GGA-PBE
Structure: relaxed

Summary:
Theoretical density, g/cm3: 7.55
Energy of formation from the pure elements, meV per atom: 215.7

Cell: 15.8540 15.8540 15.8540 Å, 90.00 90.00 90.00°
Last column: nearest neighbours and their distance in Å.
Space group Fm-3m (No. 225)
Symmetry-distinct sites (fractional):
1 Tb 0.0000 0.0000 0.2297  8 Sm 3.60-3.62, 4 Er 3.98
2 Sm 0.1246 0.1246 0.3754  4 Er 3.42-3.44, 3 Sm 3.62, 3 Tb 3.62
3 Sm 0.1502 0.1502 0.1502  3 Er 3.27, 3 Tb 3.60, 3 Sm 3.62
4 Er 0.0000 0.0000 0.5000  8 Sm 3.42
5 Er 0.0000 0.2500 0.2500  8 Sm 3.27-3.44

# 14
Compound: U2Fe3Pt2
Source: Alexandria via LeMat-Bulk
Functional: GGA-PBE
Structure: relaxed

Summary:
Theoretical density, g/cm3: 14.07
Energy of formation from the pure elements, meV per atom: -312.7

Cell: 12.5631 4.4546 4.5642 Å, 90.00 107.24 90.00°
Last column: nearest neighbours and their distance in Å.
Space group C2/m (No. 12)
Symmetry-distinct sites (fractional):
1 U 0.1352 0.0000 0.2364  2 Fe 2.11-2.35
2 Fe 0.0000 0.0000 0.5000  2 U 2.35, 4 Pt 2.61
3 Fe 0.2071 0.0000 0.8733  1 U 2.11
4 Pt 0.1085 0.5000 0.6713  5 Fe 2.58-2.61, 1 Pt 2.71

# 15
Compound: TiTl2AgSb
Source: Alexandria via LeMat-Bulk
Functional: GGA-PBE
Structure: relaxed

Summary:
ΔE_f (raw), eV per atom: 1.081
Theoretical density, g/cm3: 6.69

Cell: 5.7925 5.7925 5.0782 Å, 90.00 90.00 90.00°
Last column: nearest neighbours and their distance in Å.
Space group P4/mmm (No. 123)
Symmetry-distinct sites (fractional):
1 Ti 0.0000 0.0000 0.0000  8 Tl 3.85, 4 Ag 4.10
2 Tl 0.0000 0.5000 0.5000  2 Sb 2.90
3 Ag 0.5000 0.5000 0.0000  2 Sb 2.54
4 Sb 0.5000 0.5000 0.5000  2 Ag 2.54

# 16
Compound: ZrAl2SbC
Source: Alexandria via LeMat-Bulk
Functional: GGA-PBE
Structure: relaxed

Summary:
ΔE_f (raw), eV per atom: 1.937
ΔE to the lowest computed polymorph, kJ/mol of atoms: 150.8
Theoretical density, g/cm3: 2.93

Cell: 5.3899 5.3899 5.4330 Å, 90.00 90.00 90.00°
Last column: nearest neighbours and their distance in Å.
Space group P4/mmm (No. 123)
Symmetry-distinct sites (fractional):
1 Zr 0.0000 0.0000 0.0000  4 Al 2.69, 2 Sb 2.72
2 Al 0.0000 0.5000 0.0000  2 Zr 2.69
3 Sb 0.0000 0.0000 0.5000  2 Zr 2.72
4 C 0.5000 0.5000 0.5000  4 Sb 3.81, 8 Al 3.83

# 17
Compound: Co4Ni3
Source: Alexandria via LeMat-Bulk
Functional: GGA-PBE
Structure: relaxed

Summary:
ΔE to the lowest computed polymorph, kJ/mol of atoms: 0.8
Theoretical density, g/cm3: 8.97
Energy of formation from the pure elements, meV per atom: 3.0

Cell: 2.4628 3.5784 17.2944 Å, 90.00 90.00 90.00°
Last column: nearest neighbours and their distance in Å.
Space group Immm (No. 71)
Symmetry-distinct sites (fractional):
1 Co 0.0000 0.0000 0.0720  4 Co 2.46-2.49, 8 Ni 2.49-2.50
2 Co 0.0000 0.0000 0.2152  7 Co 2.46-2.48, 5 Ni 2.47-2.51
3 Ni 0.0000 0.0000 0.3579  3 Ni 2.46, 9 Co 2.47-2.51
4 Ni 0.0000 0.0000 0.5000  4 Ni 2.46, 8 Co 2.50

# 18
Compound: FeTcRu
Source: Alexandria via LeMat-Bulk
Functional: GGA-PBE
Structure: relaxed

Summary:
ΔE to the lowest computed polymorph, kJ/mol of atoms: 0.0
Theoretical density, g/cm3: 10.51
Energy of formation from the pure elements, meV per atom: 85.1

Cell: 2.6949 3.7548 7.9595 Å, 90.00 90.00 90.00°
Last column: nearest neighbours and their distance in Å.
Space group Imm2 (No. 44)
Symmetry-distinct sites (fractional):
1 Fe 0.0000 0.0000 0.0000  5 Tc 2.66, 5 Ru 2.66-2.67, 2 Fe 2.69
2 Tc 0.0000 0.0000 0.3337  5 Ru 2.63-2.67, 5 Fe 2.66, 2 Tc 2.69
3 Ru 0.0000 0.0000 0.6646  5 Tc 2.63-2.67, 5 Fe 2.66-2.67, 2 Ru 2.69

# 19
Compound: LiMgSbO4
Source: Alexandria via LeMat-Bulk
Functional: GGA-PBE
Structure: relaxed

Summary:
ΔE_f (raw), eV per atom: -2.000
Theoretical density, g/cm3: 4.37

Cell: 6.0815 6.2145 8.7259 Å, 90.00 90.00 90.00°
Last column: nearest neighbours and their distance in Å.
Space group Imma (No. 74)
Symmetry-distinct sites (fractional):
1 Li 0.0000 0.2500 0.1481  4 O 2.01-2.12
2 Mg 0.2500 0.2500 0.7500  6 O 2.10-2.16
3 Sb 0.0000 0.0000 0.5000  6 O 1.96-2.07
4 O 0.0000 0.0197 0.7246  1 Sb 1.96, 1 Li 2.01, 2 Mg 2.10
5 O 0.2258 0.2500 0.5027  2 Sb 2.07, 1 Li 2.12, 1 Mg 2.16

# 20
Compound: NaTbPdAu
Source: Alexandria via LeMat-Bulk
Functional: GGA-PBE
Structure: relaxed

Summary:
Theoretical density, g/cm3: 9.47
Energy of formation from the pure elements, meV per atom: -552.0

Cell: 6.9832 6.9832 6.9832 Å, 90.00 90.00 90.00°
Last column: nearest neighbours and their distance in Å.
Space group F-43m (No. 216)
Symmetry-distinct sites (fractional):
1 Na 0.0000 0.0000 0.0000  4 Au 3.02, 4 Pd 3.02
2 Tb 0.0000 0.0000 0.5000  4 Pd 3.02, 4 Au 3.02
3 Pd 0.2500 0.2500 0.7500  4 Tb 3.02, 4 Na 3.02
4 Au 0.2500 0.2500 0.2500  4 Tb 3.02, 4 Na 3.02